The following is a PBE-GGA calculation of crystalline TbTm2Cu4Sn4 at its relaxed geometry, from OQMD via LeMat-Bulk.

Values from the calculation:
The value obtained for the total moment is 0.00 μB per cell. Its mass density is 9.07 g cm⁻³. The volume is 224.5 Å³/f.u. The calculation puts the electronic total energy at -99.68 eV/cell.

a b c (Å): 4.417 6.957 14.615
angles (deg): 90.00 90.00 90.00
Space group Immm (No. 71)
One atom of each set of equivalent atoms:
1 Tb 0.000 0.000 0.000
2 Tm 0.000 0.500 0.131
3 Cu 0.000 0.311 0.329
4 Sn 0.000 0.000 0.217
5 Sn 0.000 0.201 0.500